The following is a PBE calculation of a geometry-optimized Mg14CoB structure, from the Alexandria database.

Values from the calculation:
Formation energy from the elements: 178.6 meV per atom
Total DFT energy (no corrections): -2.078 eV/atom
Offset from the most stable computed form: 0 meV per atom
Density of states at the Fermi level: 0.37 states/eV per atom
Size of the total moment: 0.0 μB/f.u.
ρ: 2.1 g/cm3
Space-group type: No. 38

Structure (CIF):
```
data_Mg14CoB
_cell_length_a 6.251
_cell_length_b 6.251
_cell_length_c 9.579
_cell_angle_alpha 90.00
_cell_angle_beta 90.00
_cell_angle_gamma 117.67
_symmetry_space_group_name_H-M 'P 1'
_symmetry_Int_Tables_number 1
_symmetry_space_group_name_Hall 'P 1'
loop_
_atom_site_label
_atom_site_fract_x
_atom_site_fract_y
_atom_site_fract_z
_atom_site_occupancy
Mg1 0.842 0.158 0.000 1
Mg2 0.158 0.842 0.249 1
Mg3 0.669 0.331 0.746 1
Mg4 0.825 0.665 0.000 1
Mg5 0.642 0.836 0.686 1
Mg6 0.164 0.358 0.686 1
Mg7 0.642 0.836 0.314 1
Mg8 0.336 0.664 0.000 1
Mg9 0.378 0.109 0.500 1
Mg10 0.158 0.842 0.751 1
Mg11 0.669 0.331 0.254 1
Mg12 0.164 0.358 0.314 1
Mg13 0.891 0.622 0.500 1
Mg14 0.335 0.175 0.000 1
Co1 0.819 0.181 0.500 1
B1 0.307 0.693 0.500 1
```